Density functional theory data (PBE) for crystalline CdCoSb2 at its relaxed geometry.

Properties
Total magnetization (μB/cell): 2.8
E_form (uncorrected) (eV per formula unit): 1.87
D(E_F) (states/eV per cell): 9.69
E_tot (eV per cell): -28.8

a = 4.218 Å, b = 4.218 Å, c = 9.743 Å
α = 90.00°, β = 90.00°, γ = 90.00°
Space group I-4m2 (No. 119)
Unique sites:
Cd (0.000, 0.000, 0.000)
Co (0.000, 0.500, 0.750)
Sb (0.000, 0.000, 0.500)
Sb (0.000, 0.500, 0.250)



Density functional theory data (PBE) for crystalline CdCo2Sb at its relaxed geometry.

Properties
Total magnetization (μB/cell): 3.1
E_form (uncorrected) (eV per formula unit): 1.46
Energy relative to the lowest polymorph listed for this composition (eV/f.u.): 0.62
D(E_F) (states/eV per cell): 11.84
E_tot (eV per cell): -35.6

a = 3.802 Å, b = 3.802 Å, c = 8.737 Å
α = 90.00°, β = 90.00°, γ = 90.00°
Space group I-4m2 (No. 119)
Unique sites:
Cd (0.000, 0.000, 0.000)
Co (0.000, 0.000, 0.500)
Co (0.000, 0.500, 0.750)
Sb (0.000, 0.500, 0.250)



Density functional theory data (PBE) for crystalline CdCoSb2 at its relaxed geometry.

Properties
Total magnetization (μB/cell): 0.0
E_form (uncorrected) (eV per formula unit): 0.48
D(E_F) (states/eV per cell): 2.24
E_tot (eV per cell): -15.8

a = 4.575 Å, b = 4.039 Å, c = 5.756 Å
α = 90.00°, β = 113.06°, γ = 90.00°
Space group Pm (No. 6)
Unique sites:
Cd (0.000, 0.000, 0.000)
Co (0.186, 0.500, 0.366)
Sb (0.323, 0.000, 0.645)
Sb (0.632, 0.500, 0.257)



Density functional theory data (PBE) for crystalline CdCoSb2 at its relaxed geometry.

Properties
Total magnetization (μB/cell): 0.0
E_form (uncorrected) (eV per formula unit): 0.94
D(E_F) (states/eV per cell): 17.29
E_tot (eV per cell): -61.3

a = 6.191 Å, b = 6.191 Å, c = 11.861 Å
α = 90.00°, β = 90.00°, γ = 90.00°
Space group I-42d (No. 122)
Unique sites:
Cd (0.000, 0.000, 0.000)
Co (0.000, 0.000, 0.500)
Sb (0.179, 0.250, 0.625)



Density functional theory data (PBE) for crystalline CdCo2Sb at its relaxed geometry.

Properties
Total magnetization (μB/cell): 9.6
E_form (uncorrected) (eV per formula unit): 2.26
Energy relative to the lowest polymorph listed for this composition (eV/f.u.): 1.41
D(E_F) (states/eV per cell): 30.65
E_tot (eV per cell): -68.0

a = 6.426 Å, b = 6.426 Å, c = 6.426 Å
α = 90.00°, β = 90.00°, γ = 90.00°
Space group F-43m (No. 216)
Unique sites:
Cd (0.000, 0.000, 0.000)
Co (0.000, 0.000, 0.500)
Co (0.250, 0.250, 0.750)
Sb (0.250, 0.250, 0.250)



Density functional theory data (PBE) for crystalline CdCoSb2 at its relaxed geometry.

Properties
Total magnetization (μB/cell): 0.0
E_form (uncorrected) (eV per formula unit): 0.96
D(E_F) (states/eV per cell): 8.78
E_tot (eV per cell): -45.9

a = 3.3696 Å, b = 3.3696 Å, c = 26.8644 Å
α = 90.00°, β = 90.00°, γ = 120.00°
Space group R3m (No. 160, hexagonal axes)
Unique sites:
Cd (0.0000, 0.0000, 0.0000)
Co (0.0000, 0.0000, 0.2614)
Sb (0.0000, 0.0000, 0.5374)
Sb (0.0000, 0.0000, 0.7668)



Q: Among the records above, which one has the lowest D(E_F)?
A: number 3



Q: E_form (uncorrected) of number 4 (CdCoSb2)?
A: 0.94 eV per formula unit



Q: Which value of E_tot does entry 3 give?
A: -15.8 eV per cell